(1)
The following is a DFT calculation (PBE-GGA) of a relaxed La2Be4Si3Rh crystal.

V	158	Å³ per cell
E	-5.3278	eV per atom
space-group type	P-4m2
formation energy without anion corrections	-0.490	eV per atom

Cell: 4.0078 4.0078 9.8276 Å, 90.00 90.00 90.00°
Closest atoms and distances in Å follow each position.
Positions (direct):
La1 0.0000 0.5000 0.2453  6 Si 3.06-3.21, 8 Be 3.12-3.13, 2 Rh 3.21
La2 0.5000 0.0000 0.7547  6 Si 3.06-3.21, 8 Be 3.12-3.13, 2 Rh 3.21
Be1 0.0000 0.0000 0.0000  4 Si 2.36
Be2 0.0000 0.5000 0.6230  2 Rh 2.34, 3 Si 2.34-2.45
Be3 0.5000 0.0000 0.3770  2 Rh 2.34, 3 Si 2.34-2.45
Be4 0.5000 0.5000 0.0000  4 Si 2.36
Si1 0.0000 0.5000 0.8726  5 Be 2.36-2.45
Si2 0.5000 0.0000 0.1274  5 Be 2.36-2.45
Si3 0.5000 0.5000 0.5000  4 Be 2.34
Rh1 0.0000 0.0000 0.5000  4 Be 2.34

***

(2)
The following is a DFT calculation (PBE-GGA) of a relaxed La2BeSiRh6 crystal.

V	174	Å³ per cell
E	-6.9486	eV per atom
space-group type	I4/mmm
formation energy without anion corrections	-0.637	eV per atom

Cell: 6.2699 6.2699 6.2699 Å, 120.08 120.08 89.86°
Closest atoms and distances in Å follow each position.
Positions (direct):
La1 0.2500 0.7500 0.5000  12 Rh 3.13-3.14
La2 0.7500 0.2500 0.5000  12 Rh 3.13-3.14
Be1 0.0000 0.0000 0.0000  6 Rh 2.15
Si1 0.5000 0.5000 0.0000  6 Rh 2.28
Rh1 0.2427 0.2427 0.0000  1 Be 2.15, 1 Si 2.28
Rh2 0.2427 0.2427 0.4854  1 Be 2.15, 1 Si 2.28
Rh3 0.2427 0.7573 0.0000  1 Be 2.15, 1 Si 2.28
Rh4 0.7573 0.2427 0.0000  1 Be 2.15, 1 Si 2.28
Rh5 0.7573 0.7573 0.0000  1 Be 2.15, 1 Si 2.28
Rh6 0.7573 0.7573 0.5146  1 Be 2.15, 1 Si 2.28

***

(3)
The following is a DFT calculation (PBE-GGA) of a relaxed LaBeSiRh3 crystal.

V	204	Å³ per cell
E	-6.7353	eV per atom
space-group type	Cmcm
formation energy without anion corrections	-0.713	eV per atom

Cell: 6.5652 6.5652 5.8523 Å, 90.00 90.00 125.88°
Closest atoms and distances in Å follow each position.
Positions (direct):
La1 0.2357 0.7643 0.7500  4 Rh 3.03-3.05, 1 Be 3.07, 2 Si 3.26
La2 0.7643 0.2357 0.2500  4 Rh 3.03-3.05, 1 Be 3.07, 2 Si 3.26
Be1 0.4986 0.5014 0.7500  5 Rh 2.16-2.25
Be2 0.5014 0.4986 0.2500  5 Rh 2.16-2.25
Si1 0.1129 0.8871 0.2500  5 Rh 2.29-2.41
Si2 0.8871 0.1129 0.7500  5 Rh 2.29-2.41
Rh1 0.2337 0.2337 0.0000  2 Be 2.16, 2 Si 2.41
Rh2 0.2337 0.2337 0.5000  2 Be 2.16, 2 Si 2.41
Rh3 0.3087 0.6913 0.2500  1 Be 2.25, 1 Si 2.29
Rh4 0.6913 0.3087 0.7500  1 Be 2.25, 1 Si 2.29
Rh5 0.7663 0.7663 0.0000  2 Be 2.16, 2 Si 2.41
Rh6 0.7663 0.7663 0.5000  2 Be 2.16, 2 Si 2.41

***

(4)
The following is a DFT calculation (PBE-GGA) of a relaxed La2BeVRh crystal.

V	119	Å³ per cell
E	-5.5011	eV per atom
space-group type	P4/mmm

Cell: 5.4598 5.4598 3.9947 Å, 90.00 90.00 90.00°
Closest atoms and distances in Å follow each position.
Positions (direct):
La1 0.0000 0.5000 0.0000  2 Be 2.73
La2 0.5000 0.0000 0.0000  2 Be 2.73
Be1 0.0000 0.0000 0.0000  2 Rh 2.00
V1 0.5000 0.5000 0.5000  8 La 3.38
Rh1 0.0000 0.0000 0.5000  2 Be 2.00

***

(5)
The following is a DFT calculation (PBE-GGA) of a relaxed LaBeZnRh2 crystal.

V	85	Å³ per cell
E	-5.3585	eV per atom
space-group type	P4/mmm

Cell: 4.4470 4.4470 4.2822 Å, 90.00 90.00 90.00°
Closest atoms and distances in Å follow each position.
Positions (direct):
La1 0.0000 0.0000 0.0000  8 Rh 3.09, 4 Zn 3.14
Be1 0.5000 0.5000 0.5000  2 Zn 2.14, 4 Rh 2.22
Zn1 0.5000 0.5000 0.0000  2 Be 2.14
Rh1 0.0000 0.5000 0.5000  2 Be 2.22
Rh2 0.5000 0.0000 0.5000  2 Be 2.22

***

(6)
The following is a DFT calculation (PBE-GGA) of a relaxed La2BeRu crystal.

V	194	Å³ per cell
E	-5.3902	eV per atom
space-group type	I-42d

Cell: 6.3867 6.3867 6.3867 Å, 103.77 103.77 121.59°
Closest atoms and distances in Å follow each position.
Positions (direct):
La1 0.0884 0.6250 0.9634  2 Ru 2.71
La2 0.3750 0.3384 0.4634  2 Ru 2.71
La3 0.6616 0.1250 0.0366  2 Ru 2.71
La4 0.8750 0.9116 0.5366  2 Ru 2.71
Be1 0.2500 0.7500 0.5000  4 La 3.10, 2 Ru 3.12
Be2 0.5000 0.5000 0.0000  4 La 3.10, 2 Ru 3.12
Ru1 0.0000 0.0000 0.0000  4 La 2.71
Ru2 0.7500 0.2500 0.5000  4 La 2.71

***

(7)
The following is a DFT calculation (PBE-GGA) of a relaxed LaBeRu2 crystal.

V	79	Å³ per cell
E	-6.9248	eV per atom
space-group type	R3m

Cell: 5.6822 5.6822 5.6822 Å, 43.41 43.41 43.41°
Closest atoms and distances in Å follow each position.
Positions (direct):
La1 0.0000 0.0000 0.0000  1 Ru 2.89, 1 Be 2.92
Be1 0.8108 0.8108 0.8108  6 Ru 2.44-2.52
Ru1 0.1873 0.1873 0.1873  3 Ru 2.47, 3 Be 2.52
Ru2 0.4916 0.4916 0.4916  3 Be 2.44, 3 Ru 2.47

***

(8)
The following is a DFT calculation (PBE-GGA) of a relaxed LaBe2Ru2 crystal.

V	147	Å³ per cell
energy above the lowest structure with this stoichiometry	0.072	eV/atom
E	-6.2285	eV per atom
space-group type	P4/mbm

Cell: 6.9921 6.9921 3.0000 Å, 90.00 90.00 90.00°
Closest atoms and distances in Å follow each position.
Positions (direct):
La1 0.0000 0.0000 0.0000  4 Ru 2.66
La2 0.5000 0.5000 0.0000  4 Ru 2.66
Be1 0.1198 0.3802 0.5000  1 Be 2.37, 4 Ru 2.42
Be2 0.3802 0.8802 0.5000  1 Be 2.37, 4 Ru 2.42
Be3 0.6198 0.1198 0.5000  1 Be 2.37, 4 Ru 2.42
Be4 0.8802 0.6198 0.5000  1 Be 2.37, 4 Ru 2.42
Ru1 0.1494 0.6494 0.0000  4 Be 2.42, 2 La 2.66
Ru2 0.3506 0.1494 0.0000  4 Be 2.42, 2 La 2.66
Ru3 0.6494 0.8506 0.0000  4 Be 2.42, 2 La 2.66
Ru4 0.8506 0.3506 0.0000  4 Be 2.42, 2 La 2.66